A plane-wave DFT calculation with GGA-PBE was carried out for an optimized crystal structure of BaNaNiSb.

The total energy is -52.11 eV for the cell shown.

It has space group F-43m (No. 216), with a = 7.527 Å, b = 7.527 Å, c = 7.527 Å, α = 90.00°, β = 90.00° and γ = 90.00°. The inequivalent atoms are Ba at (0.000, 0.000, 0.000), Na at (0.250, 0.250, 0.250), Ni at (0.000, 0.000, 0.500) and Sb at (0.250, 0.250, 0.750).